Record 1
# Pr6Ge2PtCl3 (GGA-PBE, relaxed)
# ΔE_f (raw): -15.2 eV/f.u.
data_Pr6Ge2PtCl3
_chemical_formula_sum 'Pr12 Ge4 Pt2 Cl6'
_symmetry_space_group_name_H-M 'C 1 2/m 1'
_symmetry_Int_Tables_number 12
_cell_length_a 18.582
_cell_length_b 4.251
_cell_length_c 8.651
_cell_angle_alpha 90.00
_cell_angle_beta 101.37
_cell_angle_gamma 90.00
loop_
_symmetry_equiv_pos_as_xyz
'x,y,z'
'-x,-y,-z'
'-x,y,-z'
'x,-y,z'
'x+1/2,y+1/2,z'
'-x+1/2,-y+1/2,-z'
'-x+1/2,y+1/2,-z'
'x+1/2,-y+1/2,z'
loop_
_atom_site_label
_atom_site_fract_x
_atom_site_fract_y
_atom_site_fract_z
_atom_site_occupancy
Pr1 0.003 0.000 0.231 1
Pr2 0.162 0.500 0.096 1
Pr3 0.171 0.500 0.575 1
Ge1 0.166 0.000 0.337 1
Pt1 0.000 0.500 0.000 1
Cl1 0.000 0.500 0.500 1
Cl2 0.171 0.000 0.836 1



Record 2
# RbPrGe2Cl8 (GGA-PBE, relaxed)
# ΔE_f (raw): -17.7 eV/f.u.
data_RbPrGe2Cl8
_chemical_formula_sum 'Rb1 Pr1 Ge2 Cl8'
_symmetry_space_group_name_H-M 'P -1'
_symmetry_Int_Tables_number 2
_cell_length_a 6.419
_cell_length_b 6.981
_cell_length_c 9.505
_cell_angle_alpha 86.83
_cell_angle_beta 89.45
_cell_angle_gamma 85.24
loop_
_symmetry_equiv_pos_as_xyz
'x,y,z'
'-x,-y,-z'
loop_
_atom_site_label
_atom_site_fract_x
_atom_site_fract_y
_atom_site_fract_z
_atom_site_occupancy
Rb1 0.000 0.000 0.000 1
Pr1 0.000 0.000 0.500 1
Ge1 0.458 0.454 0.272 1
Cl1 0.216 0.806 0.294 1
Cl2 0.246 0.318 0.462 1
Cl3 0.271 0.861 0.716 1
Cl4 0.274 0.365 0.085 1



Record 3
# Pr8GeRh3Cl4 (GGA-PBE, relaxed)
# ΔE_f (raw): -18.3 eV/f.u.
data_Pr8GeRh3Cl4
_chemical_formula_sum 'Pr16 Ge2 Rh6 Cl8'
_symmetry_space_group_name_H-M 'C 1 2/m 1'
_symmetry_Int_Tables_number 12
_cell_length_a 14.558
_cell_length_b 8.404
_cell_length_c 8.881
_cell_angle_alpha 90.00
_cell_angle_beta 123.14
_cell_angle_gamma 90.00
loop_
_symmetry_equiv_pos_as_xyz
'x,y,z'
'-x,-y,-z'
'-x,y,-z'
'x,-y,z'
'x+1/2,y+1/2,z'
'-x+1/2,-y+1/2,-z'
'-x+1/2,y+1/2,-z'
'x+1/2,-y+1/2,z'
loop_
_atom_site_label
_atom_site_fract_x
_atom_site_fract_y
_atom_site_fract_z
_atom_site_occupancy
Pr1 0.016 0.242 0.290 1
Pr2 0.237 0.000 0.711 1
Pr3 0.242 0.500 0.708 1
Ge1 0.000 0.500 0.500 1
Rh1 0.000 0.000 0.500 1
Rh2 0.250 0.250 0.500 1
Cl1 0.000 0.000 0.000 1
Cl2 0.000 0.500 0.000 1
Cl3 0.250 0.250 0.000 1



Record 4
# Pr4GeRhCl2 (GGA-PBE, relaxed)
# ΔE_f (raw): -9.2 eV/f.u.
data_Pr4GeRhCl2
_chemical_formula_sum 'Pr4 Ge1 Rh1 Cl2'
_symmetry_space_group_name_H-M 'P 1 2/m 1'
_symmetry_Int_Tables_number 10
_cell_length_a 7.499
_cell_length_b 4.162
_cell_length_c 7.583
_cell_angle_alpha 90.00
_cell_angle_beta 107.73
_cell_angle_gamma 90.00
loop_
_symmetry_equiv_pos_as_xyz
'x,y,z'
'-x,-y,-z'
'-x,y,-z'
'x,-y,z'
loop_
_atom_site_label
_atom_site_fract_x
_atom_site_fract_y
_atom_site_fract_z
_atom_site_occupancy
Pr1 0.213 0.000 0.228 1
Pr2 0.221 0.500 0.750 1
Ge1 0.000 0.000 0.500 1
Rh1 0.000 0.500 0.000 1
Cl1 0.500 0.000 0.000 1
Cl2 0.500 0.500 0.500 1



Record 5
# Pr8GeRu3Cl4 (GGA-PBE, relaxed)
# ΔE_f (raw): -15.1 eV/f.u.
data_Pr8GeRu3Cl4
_chemical_formula_sum 'Pr16 Ge2 Ru6 Cl8'
_symmetry_space_group_name_H-M 'C 1 2/m 1'
_symmetry_Int_Tables_number 12
_cell_length_a 14.469
_cell_length_b 8.355
_cell_length_c 8.934
_cell_angle_alpha 90.00
_cell_angle_beta 122.72
_cell_angle_gamma 90.00
loop_
_symmetry_equiv_pos_as_xyz
'x,y,z'
'-x,-y,-z'
'-x,y,-z'
'x,-y,z'
'x+1/2,y+1/2,z'
'-x+1/2,-y+1/2,-z'
'-x+1/2,y+1/2,-z'
'x+1/2,-y+1/2,z'
loop_
_atom_site_label
_atom_site_fract_x
_atom_site_fract_y
_atom_site_fract_z
_atom_site_occupancy
Pr1 0.019 0.240 0.297 1
Pr2 0.239 0.000 0.717 1
Pr3 0.241 0.500 0.703 1
Ge1 0.000 0.500 0.500 1
Ru1 0.000 0.000 0.500 1
Ru2 0.250 0.250 0.500 1
Cl1 0.000 0.000 0.000 1
Cl2 0.000 0.500 0.000 1
Cl3 0.250 0.250 0.000 1



Record 6
# Pr6GeS3Cl2 (GGA-PBE, relaxed)
# ΔE_f (raw): -20.2 eV/f.u.
data_Pr6GeS3Cl2
_chemical_formula_sum 'Pr12 Ge2 S6 Cl4'
_symmetry_space_group_name_H-M 'C 1 2/m 1'
_symmetry_Int_Tables_number 12
_cell_length_a 7.199
_cell_length_b 12.521
_cell_length_c 7.275
_cell_angle_alpha 90.00
_cell_angle_beta 109.39
_cell_angle_gamma 90.00
loop_
_symmetry_equiv_pos_as_xyz
'x,y,z'
'-x,-y,-z'
'-x,y,-z'
'x,-y,z'
'x+1/2,y+1/2,z'
'-x+1/2,-y+1/2,-z'
'-x+1/2,y+1/2,-z'
'x+1/2,-y+1/2,z'
loop_
_atom_site_label
_atom_site_fract_x
_atom_site_fract_y
_atom_site_fract_z
_atom_site_occupancy
Pr1 0.232 0.000 0.227 1
Pr2 0.248 0.340 0.226 1
Ge1 0.000 0.000 0.500 1
S1 0.000 0.168 0.000 1
S2 0.000 0.500 0.000 1
Cl1 0.000 0.332 0.500 1



Record 7
# Pr4GeS2Cl (GGA-PBE, relaxed)
# ΔE_f (raw): -13.1 eV/f.u.
data_Pr4GeS2Cl
_chemical_formula_sum 'Pr4 Ge1 S2 Cl1'
_symmetry_space_group_name_H-M 'P 1 2/m 1'
_symmetry_Int_Tables_number 10
_cell_length_a 7.237
_cell_length_b 4.176
_cell_length_c 7.306
_cell_angle_alpha 90.00
_cell_angle_beta 109.11
_cell_angle_gamma 90.00
loop_
_symmetry_equiv_pos_as_xyz
'x,y,z'
'-x,-y,-z'
'-x,y,-z'
'x,-y,z'
loop_
_atom_site_label
_atom_site_fract_x
_atom_site_fract_y
_atom_site_fract_z
_atom_site_occupancy
Pr1 0.229 0.000 0.228 1
Pr2 0.240 0.500 0.758 1
Ge1 0.500 0.000 0.000 1
S1 0.000 0.000 0.500 1
S2 0.000 0.500 0.000 1
Cl1 0.500 0.500 0.500 1



Record 8
# Pr6Ge3S2Cl (GGA-PBE, relaxed)
# ΔE_f (raw): -16.7 eV/f.u.
data_Pr6Ge3S2Cl
_chemical_formula_sum 'Pr12 Ge6 S4 Cl2'
_symmetry_space_group_name_H-M 'C 1 2/m 1'
_symmetry_Int_Tables_number 12
_cell_length_a 18.486
_cell_length_b 4.275
_cell_length_c 8.484
_cell_angle_alpha 90.00
_cell_angle_beta 102.39
_cell_angle_gamma 90.00
loop_
_symmetry_equiv_pos_as_xyz
'x,y,z'
'-x,-y,-z'
'-x,y,-z'
'x,-y,z'
'x+1/2,y+1/2,z'
'-x+1/2,-y+1/2,-z'
'-x+1/2,y+1/2,-z'
'x+1/2,-y+1/2,z'
loop_
_atom_site_label
_atom_site_fract_x
_atom_site_fract_y
_atom_site_fract_z
_atom_site_occupancy
Pr1 0.001 0.000 0.262 1
Pr2 0.167 0.500 0.584 1
Pr3 0.172 0.500 0.087 1
Ge1 0.000 0.500 0.500 1
Ge2 0.164 0.000 0.834 1
S1 0.167 0.000 0.333 1
Cl1 0.000 0.500 0.000 1



Record 9
# Pr6Ge2SCl3 (GGA-PBE, relaxed)
# ΔE_f (raw): -17.2 eV/f.u.
data_Pr6Ge2SCl3
_chemical_formula_sum 'Pr12 Ge4 S2 Cl6'
_symmetry_space_group_name_H-M 'C 1 2/m 1'
_symmetry_Int_Tables_number 12
_cell_length_a 7.304
_cell_length_b 12.676
_cell_length_c 7.454
_cell_angle_alpha 90.00
_cell_angle_beta 109.12
_cell_angle_gamma 90.00
loop_
_symmetry_equiv_pos_as_xyz
'x,y,z'
'-x,-y,-z'
'-x,y,-z'
'x,-y,z'
'x+1/2,y+1/2,z'
'-x+1/2,-y+1/2,-z'
'-x+1/2,y+1/2,-z'
'x+1/2,-y+1/2,z'
loop_
_atom_site_label
_atom_site_fract_x
_atom_site_fract_y
_atom_site_fract_z
_atom_site_occupancy
Pr1 0.237 0.163 0.222 1
Pr2 0.250 0.000 0.775 1
Ge1 0.000 0.334 0.000 1
S1 0.000 0.000 0.000 1
Cl1 0.000 0.176 0.500 1
Cl2 0.000 0.500 0.500 1



Record 10
# Pr8Ge3SCl4 (GGA-PBE, relaxed)
# ΔE_f (raw): -22.2 eV/f.u.
data_Pr8Ge3SCl4
_chemical_formula_sum 'Pr24 Ge9 S3 Cl12'
_symmetry_space_group_name_H-M 'R -3 m'
_symmetry_Int_Tables_number 166
_symmetry_space_group_name_Hall '-R 3 2"'
_cell_length_a 8.4798
_cell_length_b 8.4798
_cell_length_c 21.1620
_cell_angle_alpha 90.00
_cell_angle_beta 90.00
_cell_angle_gamma 120.00
loop_
_atom_site_label
_atom_site_fract_x
_atom_site_fract_y
_atom_site_fract_z
_atom_site_occupancy
Pr1 0.0000 0.0000 0.2430 1
Pr2 0.0086 0.5043 0.2405 1
Ge1 0.0000 0.5000 0.5000 1
S1 0.0000 0.0000 0.5000 1
Cl1 0.0000 0.0000 0.0000 1
Cl2 0.0000 0.5000 0.0000 1



Record 11
# Pr3GeSbCl (GGA-PBE, relaxed)
# ΔE_f (raw): -6.4 eV/f.u.
data_Pr3GeSbCl
_chemical_formula_sum 'Pr6 Ge2 Sb2 Cl2'
_symmetry_space_group_name_H-M 'P 1 21/m 1'
_symmetry_Int_Tables_number 11
_cell_length_a 8.786
_cell_length_b 4.494
_cell_length_c 9.650
_cell_angle_alpha 90.00
_cell_angle_beta 102.12
_cell_angle_gamma 90.00
loop_
_symmetry_equiv_pos_as_xyz
'x,y,z'
'-x,-y,-z'
'-x,y+1/2,-z'
'x,-y+1/2,z'
loop_
_atom_site_label
_atom_site_fract_x
_atom_site_fract_y
_atom_site_fract_z
_atom_site_occupancy
Pr1 0.078 0.250 0.345 1
Pr2 0.238 0.250 0.985 1
Pr3 0.391 0.750 0.634 1
Ge1 0.160 0.250 0.662 1
Sb1 0.321 0.750 0.279 1
Cl1 0.405 0.750 0.924 1



Record 12
# Pr6Ge3Se2Cl (GGA-PBE, relaxed)
# ΔE_f (raw): -16.4 eV/f.u.
data_Pr6Ge3Se2Cl
_chemical_formula_sum 'Pr12 Ge6 Se4 Cl2'
_symmetry_space_group_name_H-M 'C 1 2/m 1'
_symmetry_Int_Tables_number 12
_cell_length_a 18.811
_cell_length_b 4.319
_cell_length_c 8.639
_cell_angle_alpha 90.00
_cell_angle_beta 103.23
_cell_angle_gamma 90.00
loop_
_symmetry_equiv_pos_as_xyz
'x,y,z'
'-x,-y,-z'
'-x,y,-z'
'x,-y,z'
'x+1/2,y+1/2,z'
'-x+1/2,-y+1/2,-z'
'-x+1/2,y+1/2,-z'
'x+1/2,-y+1/2,z'
loop_
_atom_site_label
_atom_site_fract_x
_atom_site_fract_y
_atom_site_fract_z
_atom_site_occupancy
Pr1 0.003 0.000 0.236 1
Pr2 0.165 0.500 0.088 1
Pr3 0.172 0.500 0.579 1
Ge1 0.000 0.500 0.000 1
Ge2 0.166 0.000 0.334 1
Se1 0.166 0.000 0.831 1
Cl1 0.000 0.500 0.500 1



Record 13
# Pr4Ge2SeCl (GGA-PBE, relaxed)
# ΔE_f (raw): -10.7 eV/f.u.
data_Pr4Ge2SeCl
_chemical_formula_sum 'Pr8 Ge4 Se2 Cl2'
_symmetry_space_group_name_H-M 'I 4/m m m'
_symmetry_Int_Tables_number 139
_symmetry_space_group_name_Hall '-I 4 2'
_cell_length_a 6.056
_cell_length_b 6.056
_cell_length_c 12.026
_cell_angle_alpha 90.00
_cell_angle_beta 90.00
_cell_angle_gamma 90.00
loop_
_atom_site_label
_atom_site_fract_x
_atom_site_fract_y
_atom_site_fract_z
_atom_site_occupancy
Pr1 0.000 0.000 0.247 1
Pr2 0.000 0.500 0.000 1
Ge1 0.000 0.500 0.250 1
Se1 0.000 0.000 0.000 1
Cl1 0.000 0.000 0.500 1



Record 14
# Pr6Ge2Se3Cl (GGA-PBE, relaxed)
# ΔE_f (raw): -18.2 eV/f.u.
data_Pr6Ge2Se3Cl
_chemical_formula_sum 'Pr12 Ge4 Se6 Cl2'
_symmetry_space_group_name_H-M 'C 1 2/m 1'
_symmetry_Int_Tables_number 12
_cell_length_a 18.693
_cell_length_b 4.278
_cell_length_c 8.636
_cell_angle_alpha 90.00
_cell_angle_beta 102.79
_cell_angle_gamma 90.00
loop_
_symmetry_equiv_pos_as_xyz
'x,y,z'
'-x,-y,-z'
'-x,y,-z'
'x,-y,z'
'x+1/2,y+1/2,z'
'-x+1/2,-y+1/2,-z'
'-x+1/2,y+1/2,-z'
'x+1/2,-y+1/2,z'
loop_
_atom_site_label
_atom_site_fract_x
_atom_site_fract_y
_atom_site_fract_z
_atom_site_occupancy
Pr1 0.006 0.000 0.269 1
Pr2 0.169 0.500 0.579 1
Pr3 0.172 0.500 0.098 1
Ge1 0.166 0.000 0.331 1
Se1 0.000 0.500 0.500 1
Se2 0.163 0.000 0.837 1
Cl1 0.000 0.500 0.000 1



Record 15
# Pr3GeSeCl (GGA-PBE, relaxed)
# ΔE_f (raw): -7.9 eV/f.u.
data_Pr3GeSeCl
_chemical_formula_sum 'Pr6 Ge2 Se2 Cl2'
_symmetry_space_group_name_H-M 'P 1 21/m 1'
_symmetry_Int_Tables_number 11
_cell_length_a 8.708
_cell_length_b 4.246
_cell_length_c 10.308
_cell_angle_alpha 90.00
_cell_angle_beta 91.79
_cell_angle_gamma 90.00
loop_
_symmetry_equiv_pos_as_xyz
'x,y,z'
'-x,-y,-z'
'-x,y+1/2,-z'
'x,-y+1/2,z'
loop_
_atom_site_label
_atom_site_fract_x
_atom_site_fract_y
_atom_site_fract_z
_atom_site_occupancy
Pr1 0.119 0.250 0.354 1
Pr2 0.163 0.250 0.926 1
Pr3 0.374 0.750 0.638 1
Ge1 0.129 0.250 0.646 1
Se1 0.372 0.750 0.345 1
Cl1 0.378 0.750 0.920 1



Record 16
# Pr6Ge2SeCl3 (GGA-PBE, relaxed)
# ΔE_f (raw): -16.7 eV/f.u.
data_Pr6Ge2SeCl3
_chemical_formula_sum 'Pr12 Ge4 Se2 Cl6'
_symmetry_space_group_name_H-M 'C 1 2/m 1'
_symmetry_Int_Tables_number 12
_cell_length_a 18.592
_cell_length_b 4.304
_cell_length_c 8.479
_cell_angle_alpha 90.00
_cell_angle_beta 102.69
_cell_angle_gamma 90.00
loop_
_symmetry_equiv_pos_as_xyz
'x,y,z'
'-x,-y,-z'
'-x,y,-z'
'x,-y,z'
'x+1/2,y+1/2,z'
'-x+1/2,-y+1/2,-z'
'-x+1/2,y+1/2,-z'
'x+1/2,-y+1/2,z'
loop_
_atom_site_label
_atom_site_fract_x
_atom_site_fract_y
_atom_site_fract_z
_atom_site_occupancy
Pr1 0.006 0.000 0.241 1
Pr2 0.164 0.500 0.098 1
Pr3 0.172 0.500 0.574 1
Ge1 0.166 0.000 0.333 1
Se1 0.000 0.500 0.000 1
Cl1 0.000 0.500 0.500 1
Cl2 0.169 0.000 0.835 1



Record 17
# Pr6SiGe2Cl3 (GGA-PBE, relaxed)
# ΔE_f (raw): -14.9 eV/f.u.
data_Pr6SiGe2Cl3
_chemical_formula_sum 'Pr12 Si2 Ge4 Cl6'
_symmetry_space_group_name_H-M 'C 1 2/m 1'
_symmetry_Int_Tables_number 12
_cell_length_a 18.678
_cell_length_b 4.309
_cell_length_c 8.560
_cell_angle_alpha 90.00
_cell_angle_beta 102.82
_cell_angle_gamma 90.00
loop_
_symmetry_equiv_pos_as_xyz
'x,y,z'
'-x,-y,-z'
'-x,y,-z'
'x,-y,z'
'x+1/2,y+1/2,z'
'-x+1/2,-y+1/2,-z'
'-x+1/2,y+1/2,-z'
'x+1/2,-y+1/2,z'
loop_
_atom_site_label
_atom_site_fract_x
_atom_site_fract_y
_atom_site_fract_z
_atom_site_occupancy
Pr1 0.004 0.000 0.234 1
Pr2 0.160 0.500 0.092 1
Pr3 0.171 0.500 0.570 1
Si1 0.000 0.500 0.000 1
Ge1 0.167 0.000 0.333 1
Cl1 0.000 0.500 0.500 1
Cl2 0.167 0.000 0.833 1



Record 18
# Pr4SiGeCl2 (GGA-PBE, relaxed)
# ΔE_f (raw): -9.8 eV/f.u.
data_Pr4SiGeCl2
_chemical_formula_sum 'Pr4 Si1 Ge1 Cl2'
_symmetry_space_group_name_H-M 'P 1 2/m 1'
_symmetry_Int_Tables_number 10
_cell_length_a 7.416
_cell_length_b 4.306
_cell_length_c 7.435
_cell_angle_alpha 90.00
_cell_angle_beta 109.62
_cell_angle_gamma 90.00
loop_
_symmetry_equiv_pos_as_xyz
'x,y,z'
'-x,-y,-z'
'-x,y,-z'
'x,-y,z'
loop_
_atom_site_label
_atom_site_fract_x
_atom_site_fract_y
_atom_site_fract_z
_atom_site_occupancy
Pr1 0.227 0.000 0.239 1
Pr2 0.227 0.500 0.745 1
Si1 0.000 0.500 0.000 1
Ge1 0.000 0.000 0.500 1
Cl1 0.500 0.000 0.000 1
Cl2 0.500 0.500 0.500 1



Record 19
# Pr6Si2GeCl3 (GGA-PBE, relaxed)
# ΔE_f (raw): -14.6 eV/f.u.
data_Pr6Si2GeCl3
_chemical_formula_sum 'Pr12 Si4 Ge2 Cl6'
_symmetry_space_group_name_H-M 'C 1 2/m 1'
_symmetry_Int_Tables_number 12
_cell_length_a 18.705
_cell_length_b 4.294
_cell_length_c 8.579
_cell_angle_alpha 90.00
_cell_angle_beta 103.30
_cell_angle_gamma 90.00
loop_
_symmetry_equiv_pos_as_xyz
'x,y,z'
'-x,-y,-z'
'-x,y,-z'
'x,-y,z'
'x+1/2,y+1/2,z'
'-x+1/2,-y+1/2,-z'
'-x+1/2,y+1/2,-z'
'x+1/2,-y+1/2,z'
loop_
_atom_site_label
_atom_site_fract_x
_atom_site_fract_y
_atom_site_fract_z
_atom_site_occupancy
Pr1 0.007 0.000 0.240 1
Pr2 0.163 0.500 0.100 1
Pr3 0.172 0.500 0.570 1
Si1 0.167 0.000 0.334 1
Ge1 0.000 0.500 0.000 1
Cl1 0.000 0.500 0.500 1
Cl2 0.166 0.000 0.833 1



Record 20
# Pr8SiGe3Cl4 (GGA-PBE, relaxed)
# ΔE_f (raw): -19.9 eV/f.u.
data_Pr8SiGe3Cl4
_chemical_formula_sum 'Pr24 Si3 Ge9 Cl12'
_symmetry_space_group_name_H-M 'R -3 m'
_symmetry_Int_Tables_number 166
_symmetry_space_group_name_Hall '-R 3 2"'
_cell_length_a 8.6208
_cell_length_b 8.6208
_cell_length_c 20.8903
_cell_angle_alpha 90.00
_cell_angle_beta 90.00
_cell_angle_gamma 120.00
loop_
_atom_site_label
_atom_site_fract_x
_atom_site_fract_y
_atom_site_fract_z
_atom_site_occupancy
Pr1 0.0000 0.0000 0.2429 1
Pr2 0.0028 0.5014 0.2426 1
Si1 0.0000 0.0000 0.5000 1
Ge1 0.0000 0.5000 0.5000 1
Cl1 0.0000 0.0000 0.0000 1
Cl2 0.0000 0.5000 0.0000 1